[1]
Below is a relaxed structure of PrAlCd, with properties calculated at the PBE level.

Computed properties:
Total energy   -3.4399 eV/atom
Calculated volume   159.0 Å³/cell
Calculated density   5.85 g/cm3
Magnetization   0.00 μB per atom
Formation energy   -0.294 eV per atom

```
data_PrAlCd
_cell_length_a 4.397
_cell_length_b 4.397
_cell_length_c 8.791
_cell_angle_alpha 104.48
_cell_angle_beta 104.48
_cell_angle_gamma 90.00
_symmetry_space_group_name_H-M 'P 1'
_symmetry_Int_Tables_number 1
loop_
_symmetry_equiv_pos_as_xyz
'x,y,z'
loop_
_atom_site_label
_atom_site_type_symbol
_atom_site_fract_x
_atom_site_fract_y
_atom_site_fract_z
Pr1 Pr 0.250 0.750 0.500
Pr2 Pr 0.500 0.500 0.000
Al1 Al 0.922 0.922 0.845
Al2 Al 0.078 0.078 0.155
Cd1 Cd 0.835 0.335 0.670
Cd2 Cd 0.665 0.165 0.330
```

=====

[2]
Below is a relaxed structure of LiLaFe3, with properties calculated at the PBE level.

Computed properties:
Total energy   -5.6771 eV/atom
Calculated volume   81.1 Å³/cell
Polymorph energy (0 for the lowest one)   0.000 eV/atom
Calculated density   6.42 g/cm3
Magnetization   1.18 μB per atom
Formation energy   0.769 eV per atom

```
data_LiLaFe3
_cell_length_a 4.329
_cell_length_b 4.329
_cell_length_c 4.329
_cell_angle_alpha 90.00
_cell_angle_beta 90.00
_cell_angle_gamma 90.00
_symmetry_space_group_name_H-M 'P 1'
_symmetry_Int_Tables_number 1
loop_
_symmetry_equiv_pos_as_xyz
'x,y,z'
loop_
_atom_site_label
_atom_site_type_symbol
_atom_site_fract_x
_atom_site_fract_y
_atom_site_fract_z
Li1 Li 0.000 0.000 0.000
Fe1 Fe 0.000 0.500 0.000
Fe2 Fe 0.000 0.000 0.500
Fe3 Fe 0.500 0.000 0.000
La1 La 0.500 0.500 0.500
```

=====

[3]
Below is a relaxed structure of InS2O, with properties calculated at the PBE level.

Computed properties:
Total energy   -3.3745 eV/atom
Calculated volume   62.9 Å³/cell
Polymorph energy (0 for the lowest one)   0.636 eV/atom
Calculated density   5.15 g/cm3
Magnetization   0.00 μB per atom
Raw formation energy   0.61 eV/atom

```
data_InS2O
_cell_length_a 4.463
_cell_length_b 4.463
_cell_length_c 4.463
_cell_angle_alpha 60.00
_cell_angle_beta 60.00
_cell_angle_gamma 60.00
_symmetry_space_group_name_H-M 'P 1'
_symmetry_Int_Tables_number 1
loop_
_symmetry_equiv_pos_as_xyz
'x,y,z'
loop_
_atom_site_label
_atom_site_type_symbol
_atom_site_fract_x
_atom_site_fract_y
_atom_site_fract_z
S1 S 0.250 0.250 0.250
S2 S 0.750 0.750 0.750
O1 O 0.000 0.000 0.000
In1 In 0.500 0.500 0.500
```

=====

[4]
Below is a relaxed structure of RbRhS, with properties calculated at the PBE level.

Computed properties:
Total energy   -4.5763 eV/atom
Calculated volume   172.3 Å³/cell
Calculated density   4.25 g/cm3
Magnetization   0.16 μB per atom
Raw formation energy   -0.43 eV/atom

```
data_RbRhS
_cell_length_a 4.029
_cell_length_b 4.029
_cell_length_c 10.611
_cell_angle_alpha 90.00
_cell_angle_beta 90.00
_cell_angle_gamma 90.00
_symmetry_space_group_name_H-M 'P 1'
_symmetry_Int_Tables_number 1
loop_
_symmetry_equiv_pos_as_xyz
'x,y,z'
loop_
_atom_site_label
_atom_site_type_symbol
_atom_site_fract_x
_atom_site_fract_y
_atom_site_fract_z
Rb1 Rb 0.000 0.500 0.792
Rb2 Rb 0.500 0.000 0.208
S1 S 0.000 0.500 0.376
S2 S 0.500 0.000 0.624
Rh1 Rh 0.500 0.500 0.500
Rh2 Rh 0.000 0.000 0.500
```

=====

[5]
Below is a relaxed structure of AgGe2AuSe6, with properties calculated at the PBE level.

Computed properties:
Total energy   -3.6918 eV/atom
Calculated volume   517.2 Å³/cell
Calculated density   5.93 g/cm3
Magnetization   0.00 μB per atom
Raw formation energy   -0.06 eV/atom

```
data_AgGe2AuSe6
_cell_length_a 6.707
_cell_length_b 9.048
_cell_length_c 9.048
_cell_angle_alpha 85.80
_cell_angle_beta 76.07
_cell_angle_gamma 76.07
_symmetry_space_group_name_H-M 'P 1'
_symmetry_Int_Tables_number 1
loop_
_symmetry_equiv_pos_as_xyz
'x,y,z'
loop_
_atom_site_label
_atom_site_type_symbol
_atom_site_fract_x
_atom_site_fract_y
_atom_site_fract_z
Ag1 Ag 0.250 0.885 0.115
Ag2 Ag 0.750 0.115 0.885
Ge1 Ge 0.240 0.779 0.620
Ge2 Ge 0.260 0.380 0.221
Ge3 Ge 0.760 0.221 0.380
Ge4 Ge 0.740 0.620 0.779
Au1 Au 0.250 0.268 0.732
Au2 Au 0.750 0.732 0.268
Se1 Se 0.147 0.965 0.818
Se2 Se 0.353 0.182 0.035
Se3 Se 0.853 0.035 0.182
Se4 Se 0.647 0.818 0.965
Se5 Se 0.397 0.894 0.384
Se6 Se 0.103 0.616 0.106
Se7 Se 0.603 0.106 0.616
Se8 Se 0.897 0.384 0.894
Se9 Se 0.960 0.700 0.547
Se10 Se 0.540 0.453 0.300
Se11 Se 0.040 0.300 0.453
Se12 Se 0.460 0.547 0.700
```

=====

[6]
Below is a relaxed structure of YNi2Sb, with properties calculated at the PBE level.

Computed properties:
Total energy   -5.8831 eV/atom
Calculated volume   70.8 Å³/cell
Calculated density   7.69 g/cm3
Magnetization   0.00 μB per atom
Raw formation energy   -0.35 eV/atom

```
data_YNi2Sb
_cell_length_a 7.204
_cell_length_b 4.358
_cell_length_c 3.731
_cell_angle_alpha 90.04
_cell_angle_beta 58.75
_cell_angle_gamma 127.20
_symmetry_space_group_name_H-M 'P 1'
_symmetry_Int_Tables_number 1
loop_
_symmetry_equiv_pos_as_xyz
'x,y,z'
loop_
_atom_site_label
_atom_site_type_symbol
_atom_site_fract_x
_atom_site_fract_y
_atom_site_fract_z
Ni1 Ni 0.000 0.000 0.000
Ni2 Ni 0.500 0.000 0.500
Sb1 Sb 0.000 0.500 0.500
Y1 Y 0.500 0.500 0.000
```

=====

[7]
Below is a relaxed structure of TmLuCdRh, with properties calculated at the PBE level.

Computed properties:
Total energy   -4.8837 eV/atom
Calculated volume   86.7 Å³/cell
Calculated density   10.71 g/cm3
Magnetization   0.00 μB per atom
Formation energy   -0.569 eV per atom

```
data_TmLuCdRh
_cell_length_a 4.967
_cell_length_b 4.967
_cell_length_c 4.967
_cell_angle_alpha 60.00
_cell_angle_beta 60.00
_cell_angle_gamma 60.00
_symmetry_space_group_name_H-M 'P 1'
_symmetry_Int_Tables_number 1
loop_
_symmetry_equiv_pos_as_xyz
'x,y,z'
loop_
_atom_site_label
_atom_site_type_symbol
_atom_site_fract_x
_atom_site_fract_y
_atom_site_fract_z
Rh1 Rh 0.250 0.250 0.250
Lu1 Lu 0.500 0.500 0.500
Tm1 Tm 0.000 0.000 0.000
Cd1 Cd 0.750 0.750 0.750
```